VASP calculation (GGA-PBE) on a geometry-optimized Co2Ru structure.

a = 4.683 Å, b = 4.683 Å, c = 4.683 Å
α = 60.00°, β = 60.00°, γ = 60.00°
Site moments in Bohr magnetons follow the coordinates.
Sites, in units of the cell vectors:
Co 0.125 0.625 0.125  1.76
Ru 0.500 0.500 0.500  0.74
Co 0.625 0.125 0.125  1.76
Co 0.125 0.125 0.125  1.76
Ru 0.750 0.750 0.750  0.74
Co 0.125 0.125 0.625  1.76

Results
As for the space-group type: No. 227. As for the formation energy from the elements: 0.19 eV/atom. The density of states at the Fermi level comes out at 1.683 states/eV/atom.